(1)
CaCr2Cu: relaxed, PBE.

Unit cell a=3.377 b=3.377 c=6.343 alpha=90.00 beta=90.00 gamma=90.00
Sites, in units of the cell vectors:
Ca 0.000 0.000 0.000
Cr 0.500 0.500 0.355
Cr 0.500 0.500 0.645
Cu 0.000 0.000 0.500

Results
E (eV per atom): -5.70
Formation enthalpy at 0 K (eV/atom): 0.64
ρ (g cm⁻³): 4.77
Symmetry: P4/mmm (123)
N(E_F) (states/eV/f.u.): 5.049
Relative energy among the computed polymorphs (eV per atom): 0.273

=====

(2)
CaCrCu2: relaxed, PBE.

Unit cell a=4.623 b=4.623 c=4.623 alpha=60.00 beta=60.00 gamma=60.00
Sites, in units of the cell vectors:
Ca 0.000 0.000 0.000
Cr 0.750 0.750 0.750
Cu 0.250 0.250 0.250
Cu 0.500 0.500 0.500

Results
E (eV per atom): -4.53
Formation enthalpy at 0 K (eV/atom): 0.43
ρ (g cm⁻³): 5.21
Symmetry: F-43m (216)
N(E_F) (states/eV/f.u.): 2.680
Relative energy among the computed polymorphs (eV per atom): 0.224

=====

(3)
CaCr2Cu: relaxed, PBE.

Unit cell a=5.668 b=5.668 c=4.977 alpha=115.48 beta=115.48 gamma=33.51
Sites, in units of the cell vectors:
Ca 0.000 0.000 0.000
Cr 0.212 0.212 0.711
Cr 0.788 0.788 0.289
Cu 0.500 0.500 0.500

Results
E (eV per atom): -5.64
Formation enthalpy at 0 K (eV/atom): 0.70
ρ (g cm⁻³): 4.37
Symmetry: C2/m (12)
N(E_F) (states/eV/f.u.): 3.859
Relative energy among the computed polymorphs (eV per atom): 0.335

=====

(4)
CaCr2Cu: relaxed, PBE.

Unit cell a=4.241 b=4.241 c=4.280 alpha=90.00 beta=90.00 gamma=90.00
Sites, in units of the cell vectors:
Ca 0.000 0.000 0.000
Cr 0.000 0.500 0.500
Cr 0.500 0.000 0.500
Cu 0.500 0.500 0.000

Results
E (eV per atom): -5.60
Formation enthalpy at 0 K (eV/atom): 0.73
ρ (g cm⁻³): 4.48
Symmetry: P4/mmm (123)
N(E_F) (states/eV/f.u.): 2.601
Relative energy among the computed polymorphs (eV per atom): 0.370

=====

(5)
CaCrCu2: relaxed, PBE.

Unit cell a=4.641 b=4.641 c=4.641 alpha=60.00 beta=60.00 gamma=60.00
Sites, in units of the cell vectors:
Ca 0.000 0.000 0.000
Cr 0.500 0.500 0.500
Cu 0.250 0.250 0.250
Cu 0.750 0.750 0.750

Results
E (eV per atom): -4.66
Formation enthalpy at 0 K (eV/atom): 0.30
ρ (g cm⁻³): 5.15
Symmetry: Fm-3m (225)
N(E_F) (states/eV/f.u.): 2.663
Relative energy among the computed polymorphs (eV per atom): 0.093

=====

(6)
CaCrCu2: relaxed, PBE.

Unit cell a=5.142 b=5.142 c=4.759 alpha=108.37 beta=108.37 gamma=36.96
Sites, in units of the cell vectors:
Ca 0.000 0.000 0.000
Cr 0.212 0.212 0.658
Cu 0.472 0.472 0.484
Cu 0.767 0.767 0.260

Results
E (eV per atom): -4.62
Formation enthalpy at 0 K (eV/atom): 0.33
ρ (g cm⁻³): 5.10
Symmetry: Cm (8)
N(E_F) (states/eV/f.u.): 2.094
Relative energy among the computed polymorphs (eV per atom): 0.132

=====

(7)
CaCr3Cu: relaxed, PBE.

Unit cell a=4.804 b=4.804 c=4.804 alpha=90.00 beta=90.00 gamma=90.00
Sites, in units of the cell vectors:
Ca 0.000 0.000 0.000
Cr 0.000 0.500 0.500
Cr 0.500 0.000 0.500
Cr 0.500 0.500 0.000
Cu 0.500 0.500 0.500

Results
E (eV per atom): -6.01
Formation enthalpy at 0 K (eV/atom): 0.99
ρ (g cm⁻³): 3.89
Symmetry: Pm-3m (221)
N(E_F) (states/eV/f.u.): 2.538
Relative energy among the computed polymorphs (eV per atom): 0.000

=====

(8)
CaCr3Cu: relaxed, PBE.

Unit cell a=4.264 b=4.264 c=4.264 alpha=90.00 beta=90.00 gamma=90.00
Sites, in units of the cell vectors:
Ca 0.000 0.000 0.000
Cr 0.000 0.000 0.500
Cr 0.000 0.500 0.000
Cr 0.500 0.000 0.000
Cu 0.500 0.500 0.500

Results
E (eV per atom): -4.35
Formation enthalpy at 0 K (eV/atom): 2.64
ρ (g cm⁻³): 5.56
Symmetry: Pm-3m (221)
N(E_F) (states/eV/f.u.): 9.742
Relative energy among the computed polymorphs (eV per atom): 1.653

=====

(9)
CaCr2Cu: relaxed, PBE.

Unit cell a=5.645 b=5.645 c=2.995 alpha=103.69 beta=103.69 gamma=118.77
Sites, in units of the cell vectors:
Ca 0.000 0.000 0.000
Cr 0.000 0.500 0.500
Cr 0.500 0.000 0.500
Cu 0.500 0.500 0.000

Results
E (eV per atom): -5.50
Formation enthalpy at 0 K (eV/atom): 0.84
ρ (g cm⁻³): 4.65
Symmetry: C2/m (12)
N(E_F) (states/eV/f.u.): 3.126
Relative energy among the computed polymorphs (eV per atom): 0.478

=====

(10)
CaCr2Cu: relaxed, PBE.

Unit cell a=5.160 b=5.160 c=5.160 alpha=130.59 beta=130.59 gamma=72.47
Sites, in units of the cell vectors:
Ca 0.000 0.000 0.000
Cr 0.250 0.750 0.500
Cr 0.750 0.250 0.500
Cu 0.500 0.500 0.000

Results
E (eV per atom): -5.59
Formation enthalpy at 0 K (eV/atom): 0.75
ρ (g cm⁻³): 4.45
Symmetry: I4/mmm (139)
N(E_F) (states/eV/f.u.): 2.431
Relative energy among the computed polymorphs (eV per atom): 0.383

=====

(11)
CaCr2Cu: relaxed, PBE.

Unit cell a=3.027 b=4.449 c=5.645 alpha=90.00 beta=103.03 gamma=90.00
Sites, in units of the cell vectors:
Ca 0.000 0.000 0.000
Cr 0.318 0.500 0.702
Cr 0.682 0.500 0.298
Cu 0.500 0.000 0.500

Results
E (eV per atom): -5.56
Formation enthalpy at 0 K (eV/atom): 0.77
ρ (g cm⁻³): 4.65
Symmetry: P2/m (10)
N(E_F) (states/eV/f.u.): 3.734
Relative energy among the computed polymorphs (eV per atom): 0.413

=====

(12)
CaCrCu2: relaxed, PBE.

Unit cell a=8.693 b=8.693 c=8.693 alpha=21.19 beta=21.19 gamma=21.19
Sites, in units of the cell vectors:
Ca 0.000 0.000 0.000
Cr 0.772 0.772 0.772
Cu 0.243 0.243 0.243
Cu 0.511 0.511 0.511

Results
E (eV per atom): -4.31
Formation enthalpy at 0 K (eV/atom): 0.64
ρ (g cm⁻³): 4.84
Symmetry: R3m (160)
N(E_F) (states/eV/f.u.): 1.885
Relative energy among the computed polymorphs (eV per atom): 0.441